No. 1
A relaxed structure of Al2CrRh. Source: the Alexandria database, functional GGA-PBE.

## Properties
As for the symmetry: No. 123. As for the density of states at the Fermi level: 2.5 states/eV/cell. For the formation energy, the calculation gives -0.54 eV/atom. The offset from the most stable computed form is 23 meV per atom. The magnetic moment comes out at 0.576 μB per atom.

POSCAR file:
```
Al2CrRh
1.0
-0.996 -1.277 2.529
-2.220 -1.305 -1.534
1.339 -6.132 -2.568
Cr Rh Al
1 1 2
Direct
0.500 0.250 0.250
0.500 0.750 0.750
0.000 0.497 0.503
0.000 0.003 0.997
```


No. 2
A relaxed structure of AgAsBr2F. Source: the Alexandria database, functional GGA-PBE.

## Properties
As for the symmetry: No. 123. As for the density of states at the Fermi level: 1.0 states/eV/cell. The offset from the most stable computed form is 0 meV per atom. The magnetic moment comes out at 0.000 μB per atom.

POSCAR file:
```
AgAsBr2F
1.0
-0.438 -5.548 -1.061
1.335 -1.136 5.387
-3.733 0.113 0.949
Ag Br F As
1 2 1 1
Direct
0.500 0.500 0.500
0.000 0.500 0.000
0.500 0.000 0.000
0.000 0.000 0.000
0.000 0.000 0.500
```